## Mo2P3O13 (PBE+U)

Data for a relaxed structure of Mo2P3O13.

Computed properties:
- E_tot: -7.20 eV/atom
- Crystal system: monoclinic

Cell: 6.434 19.415 9.857 Å, 90.00 106.32 90.00°
Sites, in units of the cell vectors:
Mo: 0.060 0.000 0.382
Mo: 0.128 0.716 0.066
Mo: 0.371 0.032 0.931
Mo: 0.439 0.748 0.614
Mo: 0.561 0.248 0.386
Mo: 0.629 0.532 0.069
Mo: 0.872 0.216 0.934
Mo: 0.940 0.500 0.618
P: 0.016 0.284 0.291
P: 0.089 0.551 0.969
P: 0.240 0.907 0.694
P: 0.260 0.841 0.303
P: 0.412 0.197 0.034
P: 0.485 0.464 0.712
P: 0.515 0.964 0.288
P: 0.588 0.697 0.966
P: 0.740 0.341 0.697
P: 0.760 0.407 0.306
P: 0.911 0.051 0.031
P: 0.984 0.784 0.709
O: 0.030 0.866 0.708
O: 0.035 0.764 0.864
O: 0.040 0.511 0.832
O: 0.055 0.084 0.426
O: 0.069 0.030 0.945
O: 0.076 0.630 0.943
O: 0.093 0.889 0.330
O: 0.125 0.748 0.628
O: 0.160 0.964 0.588
O: 0.169 0.807 0.152
O: 0.182 0.216 0.941
O: 0.200 0.669 0.218
O: 0.248 0.471 0.628
O: 0.253 0.277 0.375
O: 0.299 0.079 0.780
O: 0.319 0.532 0.062
O: 0.329 0.942 0.845
O: 0.339 0.783 0.409
O: 0.374 0.000 0.368
O: 0.406 0.859 0.667
O: 0.424 0.118 0.057
O: 0.430 0.718 0.052
O: 0.444 0.664 0.569
O: 0.462 0.235 0.172
O: 0.464 0.984 0.132
O: 0.469 0.882 0.289
O: 0.531 0.382 0.711
O: 0.536 0.484 0.868
O: 0.538 0.735 0.828
O: 0.556 0.164 0.431
O: 0.570 0.218 0.948
O: 0.576 0.618 0.943
O: 0.594 0.359 0.333
O: 0.626 0.500 0.632
O: 0.661 0.283 0.591
O: 0.671 0.442 0.155
O: 0.681 0.032 0.938
O: 0.701 0.579 0.220
O: 0.747 0.777 0.625
O: 0.752 0.971 0.372
O: 0.800 0.169 0.782
O: 0.818 0.716 0.059
O: 0.831 0.307 0.848
O: 0.840 0.464 0.412
O: 0.875 0.248 0.372
O: 0.907 0.389 0.670
O: 0.924 0.130 0.057
O: 0.931 0.530 0.055
O: 0.945 0.584 0.574
O: 0.960 0.011 0.168
O: 0.965 0.264 0.136
O: 0.970 0.366 0.292